First-principles (PBEsol) data for a geometry-optimized Ca2MnW structure, as listed in the Alexandria database.

Structure (POSCAR):
```
Ca2MnW
1.0
-1.6697 2.6328 4.9336
1.6697 -2.6328 4.9336
1.6697 2.6328 -4.9336
Ca Mn W
2 1 1
direct
0.0000 0.0000 0.0000 Ca
0.7051 0.2051 0.5000 Ca
0.2609 0.7609 0.5000 Mn
0.4112 0.4112 0.0000 W
```

Properties
The offset from the most stable computed form is 0.00 eV per formula unit. The value obtained for the formation enthalpy at 0 K is 0.6575 eV per atom.

---

First-principles (PBEsol) data for a geometry-optimized Ca2MnW structure, as listed in the Alexandria database.

Structure (POSCAR):
```
Ca2MnW
1.0
0.0000 3.5724 3.5724
3.5724 0.0000 3.5724
3.5724 3.5724 0.0000
Ca Mn W
2 1 1
direct
0.2500 0.2500 0.2500 Ca
0.7500 0.7500 0.7500 Ca
0.0000 0.0000 0.0000 Mn
0.5000 0.5000 0.5000 W
```

Properties
The offset from the most stable computed form is 2.39 eV per formula unit. The value obtained for the formation enthalpy at 0 K is 1.2561 eV per atom.